Record 1
# PHIrCl2 (GGA-PBE, relaxed)
data_PHIrCl2
_chemical_formula_sum 'P1 H1 Ir1 Cl2'
_cell_length_a 4.6751
_cell_length_b 4.6751
_cell_length_c 3.2498
_cell_angle_alpha 90.00
_cell_angle_beta 90.00
_cell_angle_gamma 90.00
_space_group_name_H-M_alt 'P 4/m m m'
_space_group_IT_number 123
_space_group_name_Hall '-P 4 2'
loop_
_atom_site_label
_atom_site_type_symbol
_atom_site_fract_x
_atom_site_fract_y
_atom_site_fract_z
P1 P 0.0000 0.0000 0.0000
H1 H 0.0000 0.0000 0.5000
Ir1 Ir 0.5000 0.5000 0.0000
Cl1 Cl 0.0000 0.5000 0.5000
# DOS(E_F) ... 4.0 states/eV/f.u.
# Raw total energy ... -15.97 eV/cell

=====

Record 2
# PHIrCl2 (GGA-PBE, relaxed)
data_PHIrCl2
_chemical_formula_sum 'P1 H1 Ir1 Cl2'
_cell_length_a 5.0304
_cell_length_b 5.0304
_cell_length_c 4.4244
_cell_angle_alpha 90.00
_cell_angle_beta 90.00
_cell_angle_gamma 90.00
_space_group_name_H-M_alt 'P 4/m m m'
_space_group_IT_number 123
_space_group_name_Hall '-P 4 2'
loop_
_atom_site_label
_atom_site_type_symbol
_atom_site_fract_x
_atom_site_fract_y
_atom_site_fract_z
P1 P 0.0000 0.0000 0.0000
H1 H 0.5000 0.5000 0.0000
Ir1 Ir 0.0000 0.0000 0.5000
Cl1 Cl 0.0000 0.5000 0.5000
# DOS(E_F) ... 3.2 states/eV/f.u.
# Raw total energy ... -18.23 eV/cell

=====

Record 3
# Pm6HIr2Cl3 (GGA-PBE, relaxed)
data_Pm6HIr2Cl3
_chemical_formula_sum 'Pm12 H2 Ir4 Cl6'
_cell_length_a 6.9490
_cell_length_b 12.0411
_cell_length_c 7.8289
_cell_angle_alpha 90.00
_cell_angle_beta 107.26
_cell_angle_gamma 90.00
_space_group_name_H-M_alt 'C 1 2/m 1'
_space_group_IT_number 12
loop_
_space_group_symop_operation_xyz
'x,y,z'
'-x,-y,-z'
'-x,y,-z'
'x,-y,z'
'x+1/2,y+1/2,z'
'-x+1/2,-y+1/2,-z'
'-x+1/2,y+1/2,-z'
'x+1/2,-y+1/2,z'
loop_
_atom_site_label
_atom_site_type_symbol
_atom_site_fract_x
_atom_site_fract_y
_atom_site_fract_z
Pm1 Pm 0.2350 0.1661 0.2058
Pm2 Pm 0.2365 0.5000 0.2031
H1 H 0.0000 0.0000 0.0000
Ir1 Ir 0.0000 0.3330 0.0000
Cl1 Cl 0.0000 0.1685 0.5000
Cl2 Cl 0.0000 0.5000 0.5000
# DOS(E_F) ... 7.8 states/eV/f.u.
# Raw total energy ... -135.80 eV/cell

=====

Record 4
# Pr4HIrCl2 (GGA-PBE, relaxed)
data_Pr4HIrCl2
_chemical_formula_sum 'Pr4 H1 Ir1 Cl2'
_cell_length_a 6.8032
_cell_length_b 4.0340
_cell_length_c 7.8123
_cell_angle_alpha 90.00
_cell_angle_beta 107.08
_cell_angle_gamma 90.00
_space_group_name_H-M_alt 'P 1 2/m 1'
_space_group_IT_number 10
loop_
_space_group_symop_operation_xyz
'x,y,z'
'-x,-y,-z'
'-x,y,-z'
'x,-y,z'
loop_
_atom_site_label
_atom_site_type_symbol
_atom_site_fract_x
_atom_site_fract_y
_atom_site_fract_z
Pr1 Pr 0.2343 0.0000 0.2124
Pr2 Pr 0.2448 0.5000 0.7935
H1 H 0.0000 0.5000 0.0000
Ir1 Ir 0.5000 0.0000 0.0000
Cl1 Cl 0.0000 0.0000 0.5000
Cl2 Cl 0.5000 0.5000 0.5000
# DOS(E_F) ... 6.7 states/eV/f.u.
# Raw total energy ... -42.89 eV/cell

=====

Record 5
# Pr6HIr2Cl3 (GGA-PBE, relaxed)
data_Pr6HIr2Cl3
_chemical_formula_sum 'Pr12 H2 Ir4 Cl6'
_cell_length_a 7.0727
_cell_length_b 12.2392
_cell_length_c 7.9258
_cell_angle_alpha 90.00
_cell_angle_beta 107.38
_cell_angle_gamma 90.00
_space_group_name_H-M_alt 'C 1 2/m 1'
_space_group_IT_number 12
loop_
_space_group_symop_operation_xyz
'x,y,z'
'-x,-y,-z'
'-x,y,-z'
'x,-y,z'
'x+1/2,y+1/2,z'
'-x+1/2,-y+1/2,-z'
'-x+1/2,y+1/2,-z'
'x+1/2,-y+1/2,z'
loop_
_atom_site_label
_atom_site_type_symbol
_atom_site_fract_x
_atom_site_fract_y
_atom_site_fract_z
Pr1 Pr 0.2349 0.0000 0.2050
Pr2 Pr 0.2357 0.3331 0.2062
H1 H 0.0000 0.5000 0.0000
Ir1 Ir 0.0000 0.1667 0.0000
Cl1 Cl 0.0000 0.0000 0.5000
Cl2 Cl 0.0000 0.3303 0.5000
# DOS(E_F) ... 8.2 states/eV/f.u.
# Raw total energy ... -135.88 eV/cell

=====

Record 6
# Pr8HIr3Cl4 (GGA-PBE, relaxed)
data_Pr8HIr3Cl4
_chemical_formula_sum 'Pr24 H3 Ir9 Cl12'
_cell_length_a 8.2093
_cell_length_b 8.2093
_cell_length_c 22.6795
_cell_angle_alpha 90.00
_cell_angle_beta 90.00
_cell_angle_gamma 120.00
_space_group_name_H-M_alt 'R -3 m'
_space_group_IT_number 166
_space_group_name_Hall '-R 3 2"'
loop_
_atom_site_label
_atom_site_type_symbol
_atom_site_fract_x
_atom_site_fract_y
_atom_site_fract_z
Pr1 Pr 0.0000 0.0000 0.2354
Pr2 Pr 0.0008 0.5004 0.2350
H1 H 0.0000 0.0000 0.5000
Ir1 Ir 0.0000 0.5000 0.5000
Cl1 Cl 0.0000 0.0000 0.0000
Cl2 Cl 0.0000 0.5000 0.0000
# DOS(E_F) ... 8.5 states/eV/f.u.
# Raw total energy ... -278.57 eV/cell

=====

Record 7
# RbHIrCl6 (GGA-PBE, relaxed)
data_RbHIrCl6
_chemical_formula_sum 'Rb1 H1 Ir1 Cl6'
_cell_length_a 6.1958
_cell_length_b 6.4107
_cell_length_c 6.9507
_cell_angle_alpha 92.54
_cell_angle_beta 90.83
_cell_angle_gamma 110.31
_space_group_name_H-M_alt 'P 1'
_space_group_IT_number 1
loop_
_space_group_symop_operation_xyz
'x,y,z'
loop_
_atom_site_label
_atom_site_type_symbol
_atom_site_fract_x
_atom_site_fract_y
_atom_site_fract_z
Rb1 Rb 0.0000 0.0000 0.0000
H1 H 0.7234 0.7219 0.4963
Ir1 Ir 0.2525 0.7497 0.4984
Cl1 Cl 0.0220 0.5028 0.2590
Cl2 Cl 0.0426 0.5311 0.7381
Cl3 Cl 0.4631 0.9724 0.2602
Cl4 Cl 0.4805 0.0027 0.7363
Cl5 Cl 0.5081 0.5461 0.4981
Cl6 Cl 0.9956 0.9464 0.4983
# DOS(E_F) ... 5.6 states/eV/f.u.
# Raw total energy ... -31.32 eV/cell

=====

Record 8
# HIrS2Cl (GGA-PBE, relaxed)
data_HIrS2Cl
_chemical_formula_sum 'H1 Ir1 S2 Cl1'
_cell_length_a 3.5423
_cell_length_b 3.5423
_cell_length_c 6.7727
_cell_angle_alpha 90.00
_cell_angle_beta 90.00
_cell_angle_gamma 90.00
_space_group_name_H-M_alt 'P 4/m m m'
_space_group_IT_number 123
_space_group_name_Hall '-P 4 2'
loop_
_atom_site_label
_atom_site_type_symbol
_atom_site_fract_x
_atom_site_fract_y
_atom_site_fract_z
H1 H 0.0000 0.0000 0.0000
Ir1 Ir 0.5000 0.5000 0.5000
S1 S 0.0000 0.5000 0.0000
Cl1 Cl 0.0000 0.0000 0.5000
# DOS(E_F) ... 4.7 states/eV/f.u.
# Raw total energy ... -16.81 eV/cell

=====

Record 9
# HIrS2Cl (GGA-PBE, relaxed)
data_HIrS2Cl
_chemical_formula_sum 'H1 Ir1 S2 Cl1'
_cell_length_a 4.8242
_cell_length_b 4.8242
_cell_length_c 3.0114
_cell_angle_alpha 90.00
_cell_angle_beta 90.00
_cell_angle_gamma 90.00
_space_group_name_H-M_alt 'P 4/m m m'
_space_group_IT_number 123
_space_group_name_Hall '-P 4 2'
loop_
_atom_site_label
_atom_site_type_symbol
_atom_site_fract_x
_atom_site_fract_y
_atom_site_fract_z
H1 H 0.0000 0.0000 0.0000
Ir1 Ir 0.5000 0.5000 0.0000
S1 S 0.0000 0.5000 0.5000
Cl1 Cl 0.0000 0.0000 0.5000
# DOS(E_F) ... 2.7 states/eV/f.u.
# Raw total energy ... -17.18 eV/cell

=====

Record 10
# HIrS2Cl (GGA-PBE, relaxed)
data_HIrS2Cl
_chemical_formula_sum 'H1 Ir1 S2 Cl1'
_cell_length_a 4.5510
_cell_length_b 4.5510
_cell_length_c 5.1692
_cell_angle_alpha 90.00
_cell_angle_beta 90.00
_cell_angle_gamma 90.00
_space_group_name_H-M_alt 'P 4/m m m'
_space_group_IT_number 123
_space_group_name_Hall '-P 4 2'
loop_
_atom_site_label
_atom_site_type_symbol
_atom_site_fract_x
_atom_site_fract_y
_atom_site_fract_z
H1 H 0.0000 0.0000 0.0000
Ir1 Ir 0.5000 0.5000 0.5000
S1 S 0.0000 0.5000 0.5000
Cl1 Cl 0.5000 0.5000 0.0000
# DOS(E_F) ... 3.5 states/eV/f.u.
# Raw total energy ... -18.55 eV/cell

=====

Record 11
# ScHIr2Cl (GGA-PBE, relaxed)
data_ScHIr2Cl
_chemical_formula_sum 'Sc1 H1 Ir2 Cl1'
_cell_length_a 3.7142
_cell_length_b 3.7142
_cell_length_c 5.3981
_cell_angle_alpha 90.00
_cell_angle_beta 90.00
_cell_angle_gamma 90.00
_space_group_name_H-M_alt 'P 4/m m m'
_space_group_IT_number 123
_space_group_name_Hall '-P 4 2'
loop_
_atom_site_label
_atom_site_type_symbol
_atom_site_fract_x
_atom_site_fract_y
_atom_site_fract_z
Sc1 Sc 0.0000 0.0000 0.0000
H1 H 0.5000 0.5000 0.5000
Ir1 Ir 0.0000 0.5000 0.5000
Cl1 Cl 0.5000 0.5000 0.0000
# DOS(E_F) ... 4.2 states/eV/f.u.
# Raw total energy ... -29.83 eV/cell

=====

Record 12
# Sm6HIr2Cl3 (GGA-PBE, relaxed)
data_Sm6HIr2Cl3
_chemical_formula_sum 'Sm12 H2 Ir4 Cl6'
_cell_length_a 6.8965
_cell_length_b 11.9872
_cell_length_c 7.8016
_cell_angle_alpha 90.00
_cell_angle_beta 107.11
_cell_angle_gamma 90.00
_space_group_name_H-M_alt 'C 1 2/m 1'
_space_group_IT_number 12
loop_
_space_group_symop_operation_xyz
'x,y,z'
'-x,-y,-z'
'-x,y,-z'
'x,-y,z'
'x+1/2,y+1/2,z'
'-x+1/2,-y+1/2,-z'
'-x+1/2,y+1/2,-z'
'x+1/2,-y+1/2,z'
loop_
_atom_site_label
_atom_site_type_symbol
_atom_site_fract_x
_atom_site_fract_y
_atom_site_fract_z
Sm1 Sm 0.2353 0.1660 0.2062
Sm2 Sm 0.2373 0.5000 0.2001
H1 H 0.0000 0.0000 0.0000
Ir1 Ir 0.0000 0.3325 0.0000
Cl1 Cl 0.0000 0.1674 0.5000
Cl2 Cl 0.0000 0.5000 0.5000
# DOS(E_F) ... 7.6 states/eV/f.u.
# Raw total energy ... -135.37 eV/cell

=====

Record 13
# K8HCl6 (GGA-PBE, relaxed)
data_K8HCl6
_chemical_formula_sum 'K8 H1 Cl6'
_cell_length_a 11.6819
_cell_length_b 11.6819
_cell_length_c 4.7222
_cell_angle_alpha 90.00
_cell_angle_beta 90.00
_cell_angle_gamma 120.00
_space_group_name_H-M_alt 'P -3'
_space_group_IT_number 147
loop_
_space_group_symop_operation_xyz
'x,y,z'
'-x,-y,-z'
'-y,x-y,z'
'y,-x+y,-z'
'-x+y,-x,z'
'x-y,x,-z'
loop_
_atom_site_label
_atom_site_type_symbol
_atom_site_fract_x
_atom_site_fract_y
_atom_site_fract_z
K1 K 0.0358 0.3315 0.2613
K2 K 0.3333 0.6667 0.7461
H1 H 0.0000 0.0000 0.5000
Cl1 Cl 0.1322 0.6611 0.2417
# DOS(E_F) ... 1.2 states/eV/f.u.
# Raw total energy ... -44.52 eV/cell

=====

Record 14
# KHCl2 (GGA-PBE, relaxed)
data_KHCl2
_chemical_formula_sum 'K3 H3 Cl6'
_cell_length_a 4.9230
_cell_length_b 4.9230
_cell_length_c 18.0663
_cell_angle_alpha 90.00
_cell_angle_beta 90.00
_cell_angle_gamma 120.00
_space_group_name_H-M_alt 'R -3 m'
_space_group_IT_number 166
_space_group_name_Hall '-R 3 2"'
loop_
_atom_site_label
_atom_site_type_symbol
_atom_site_fract_x
_atom_site_fract_y
_atom_site_fract_z
K1 K 0.0000 0.0000 0.0000
H1 H 0.0000 0.0000 0.5000
Cl1 Cl 0.0000 0.0000 0.4138
# DOS(E_F) ... 0.0 states/eV/f.u.
# Raw total energy ... -39.54 eV/cell

=====

Record 15
# KHCl2 (GGA-PBE, relaxed)
data_KHCl2
_chemical_formula_sum 'K4 H4 Cl8'
_cell_length_a 6.4374
_cell_length_b 6.4374
_cell_length_c 8.1867
_cell_angle_alpha 90.00
_cell_angle_beta 90.00
_cell_angle_gamma 90.00
_space_group_name_H-M_alt 'I -4 2 d'
_space_group_IT_number 122
_space_group_name_Hall 'I -4 2bw'
loop_
_atom_site_label
_atom_site_type_symbol
_atom_site_fract_x
_atom_site_fract_y
_atom_site_fract_z
K1 K 0.0000 0.0000 0.0000
H1 H 0.0000 0.0000 0.5000
Cl1 Cl 0.1117 0.7500 0.6250
# DOS(E_F) ... 0.0 states/eV/f.u.
# Raw total energy ... -45.30 eV/cell

=====

Record 16
# K2H2Cl (GGA-PBE, relaxed)
data_K2H2Cl
_chemical_formula_sum 'K4 H4 Cl2'
_cell_length_a 3.8175
_cell_length_b 3.8175
_cell_length_c 15.0611
_cell_angle_alpha 90.00
_cell_angle_beta 90.00
_cell_angle_gamma 90.00
_space_group_name_H-M_alt 'I 4/m m m'
_space_group_IT_number 139
_space_group_name_Hall '-I 4 2'
loop_
_atom_site_label
_atom_site_type_symbol
_atom_site_fract_x
_atom_site_fract_y
_atom_site_fract_z
K1 K 0.0000 0.0000 0.1224
H1 H 0.0000 0.5000 0.2500
Cl1 Cl 0.0000 0.0000 0.5000
# DOS(E_F) ... 1.2 states/eV/f.u.
# Raw total energy ... -25.65 eV/cell

=====

Record 17
# KH2Cl8 (GGA-PBE, relaxed)
data_KH2Cl8
_chemical_formula_sum 'K1 H2 Cl8'
_cell_length_a 4.8670
_cell_length_b 6.9713
_cell_length_c 11.1248
_cell_angle_alpha 91.95
_cell_angle_beta 99.73
_cell_angle_gamma 91.24
_space_group_name_H-M_alt 'P -1'
_space_group_IT_number 2
loop_
_space_group_symop_operation_xyz
'x,y,z'
'-x,-y,-z'
loop_
_atom_site_label
_atom_site_type_symbol
_atom_site_fract_x
_atom_site_fract_y
_atom_site_fract_z
K1 K 0.0000 0.0000 0.0000
H1 H 0.1357 0.7927 0.6798
Cl1 Cl 0.0661 0.2360 0.4150
Cl2 Cl 0.3211 0.5533 0.2874
Cl3 Cl 0.4225 0.8292 0.2386
Cl4 Cl 0.4325 0.8464 0.8414
# DOS(E_F) ... 5.0 states/eV/f.u.
# Raw total energy ... -27.71 eV/cell

=====

Record 18
# K4H12Cl (GGA-PBE, relaxed)
data_K4H12Cl
_chemical_formula_sum 'K8 H24 Cl2'
_cell_length_a 8.8504
_cell_length_b 8.8504
_cell_length_c 8.8504
_cell_angle_alpha 90.00
_cell_angle_beta 90.00
_cell_angle_gamma 90.00
_space_group_name_H-M_alt 'I m -3'
_space_group_IT_number 204
_space_group_name_Hall '-I 2 2 3'
loop_
_atom_site_label
_atom_site_type_symbol
_atom_site_fract_x
_atom_site_fract_y
_atom_site_fract_z
K1 K 0.2500 0.2500 0.2500
H1 H 0.0000 0.4557 0.1345
Cl1 Cl 0.0000 0.0000 0.0000
# DOS(E_F) ... 4.6 states/eV/f.u.
# Raw total energy ... -95.78 eV/cell

=====

Record 19
# KHCl (GGA-PBE, relaxed)
data_KHCl
_chemical_formula_sum 'K4 H4 Cl4'
_cell_length_a 8.4929
_cell_length_b 4.4202
_cell_length_c 8.8508
_cell_angle_alpha 90.00
_cell_angle_beta 92.14
_cell_angle_gamma 90.00
_space_group_name_H-M_alt 'P 1 21/c 1'
_space_group_IT_number 14
loop_
_space_group_symop_operation_xyz
'x,y,z'
'-x,-y,-z'
'-x,y+1/2,-z+1/2'
'x,-y+1/2,z+1/2'
loop_
_atom_site_label
_atom_site_type_symbol
_atom_site_fract_x
_atom_site_fract_y
_atom_site_fract_z
K1 K 0.1851 0.2486 0.3826
H1 H 0.4694 0.5410 0.5226
Cl1 Cl 0.1871 0.7473 0.1340
# DOS(E_F) ... 0.0 states/eV/f.u.
# Raw total energy ... -40.54 eV/cell

=====

Record 20
# K2HCl2 (GGA-PBE, relaxed)
data_K2HCl2
_chemical_formula_sum 'K4 H2 Cl4'
_cell_length_a 7.4104
_cell_length_b 4.4734
_cell_length_c 8.9958
_cell_angle_alpha 90.00
_cell_angle_beta 90.00
_cell_angle_gamma 90.00
_space_group_name_H-M_alt 'P m m a'
_space_group_IT_number 51
loop_
_space_group_symop_operation_xyz
'x,y,z'
'-x,-y,-z'
'-x+1/2,-y,z'
'x+1/2,y,-z'
'x+1/2,-y,-z'
'-x+1/2,y,z'
'-x,y,-z'
'x,-y,z'
loop_
_atom_site_label
_atom_site_type_symbol
_atom_site_fract_x
_atom_site_fract_y
_atom_site_fract_z
K1 K 0.2500 0.0000 0.1505
K2 K 0.2500 0.5000 0.7101
H1 H 0.0000 0.0000 0.5000
Cl1 Cl 0.0000 0.5000 0.0000
Cl2 Cl 0.2500 0.5000 0.3835
# DOS(E_F) ... 0.0 states/eV/f.u.
# Raw total energy ... -28.34 eV/cell

=====

Record 21
# K5HCl4 (GGA-PBE, relaxed)
data_K5HCl4
_chemical_formula_sum 'K10 H2 Cl8'
_cell_length_a 4.4154
_cell_length_b 6.3099
_cell_length_c 22.1896
_cell_angle_alpha 90.00
_cell_angle_beta 90.00
_cell_angle_gamma 90.00
_space_group_name_H-M_alt 'I m m m'
_space_group_IT_number 71
_space_group_name_Hall '-I 2 2'
loop_
_atom_site_label
_atom_site_type_symbol
_atom_site_fract_x
_atom_site_fract_y
_atom_site_fract_z
K1 K 0.0000 0.0000 0.0000
K2 K 0.0000 0.0000 0.2015
K3 K 0.0000 0.0000 0.4089
H1 H 0.0000 0.5000 0.0000
Cl1 Cl 0.0000 0.5000 0.1959
Cl2 Cl 0.0000 0.5000 0.4012
# DOS(E_F) ... 0.0 states/eV/f.u.
# Raw total energy ... -64.42 eV/cell

=====

Record 22
# KHCl2 (GGA-PBE, relaxed)
data_KHCl2
_chemical_formula_sum 'K3 H3 Cl6'
_cell_length_a 3.7521
_cell_length_b 3.7521
_cell_length_c 24.0369
_cell_angle_alpha 90.00
_cell_angle_beta 90.00
_cell_angle_gamma 120.00
_space_group_name_H-M_alt 'R -3 m'
_space_group_IT_number 166
_space_group_name_Hall '-R 3 2"'
loop_
_atom_site_label
_atom_site_type_symbol
_atom_site_fract_x
_atom_site_fract_y
_atom_site_fract_z
K1 K 0.0000 0.0000 0.0000
H1 H 0.0000 0.0000 0.5000
Cl1 Cl 0.0000 0.0000 0.1154
# DOS(E_F) ... 0.0 states/eV/f.u.
# Raw total energy ... -25.17 eV/cell

=====

Record 23
# K3HCl (GGA-PBE, relaxed)
data_K3HCl
_chemical_formula_sum 'K3 H1 Cl1'
_cell_length_a 5.5619
_cell_length_b 5.5619
_cell_length_c 5.5619
_cell_angle_alpha 90.00
_cell_angle_beta 90.00
_cell_angle_gamma 90.00
_space_group_name_H-M_alt 'P m -3 m'
_space_group_IT_number 221
_space_group_name_Hall '-P 4 2 3'
loop_
_atom_site_label
_atom_site_type_symbol
_atom_site_fract_x
_atom_site_fract_y
_atom_site_fract_z
K1 K 0.0000 0.0000 0.5000
H1 H 0.0000 0.0000 0.0000
Cl1 Cl 0.5000 0.5000 0.5000
# DOS(E_F) ... 1.8 states/eV/f.u.
# Raw total energy ... -11.41 eV/cell